Tb3Pm2Hg7, relaxed, DFT GGA-PBE; space-group type = Cmmm (65); theoretical density = 10.82 g/cm3; formation enthalpy at 0 K = -0.3057 eV/atom; total energy = -29.173 eV per cell; total moment = 0.000 μB/f.u.
1.0
2.620 -11.666 0.000
2.620 11.666 0.000
0.000 0.000 5.451
Tb Pm Hg
3 2 7
Cartesian
0.000 0.000 0.000
2.620 7.827 0.000
2.620 -7.827 0.000
2.620 3.366 2.725
2.620 -3.366 2.725
2.620 9.954 2.725
2.620 6.486 2.725
2.620 1.883 0.000
2.620 0.000 2.725
2.620 -1.883 0.000
2.620 -6.486 2.725
2.620 -9.954 2.725

=====

Pm4YHo3, relaxed, DFT GGA-PBE; space-group type = C2/m (12); theoretical density = 7.19 g/cm3; formation enthalpy at 0 K = 0.1979 eV/atom; total energy = -75.234 eV per cell; total moment = 0.000 μB/f.u.
1.0
25.938 0.000 0.000
0.000 5.691 0.000
-0.005 0.000 3.643
Pm Y Ho
8 2 6
Cartesian
2.680 0.000 0.001
5.786 0.000 3.642
7.178 2.846 0.001
10.284 2.846 3.642
15.649 2.846 0.001
18.755 2.846 3.642
20.146 0.000 0.001
23.253 0.000 3.642
-0.002 0.000 1.821
12.966 2.846 1.821
0.000 2.846 0.000
3.902 2.846 1.821
9.062 0.000 1.822
12.969 0.000 0.000
16.871 0.000 1.821
22.031 2.846 1.822

=====

B5C7, relaxed, DFT GGA-PBE; space-group type = P-4m2 (115); theoretical density = 2.94 g/cm3; formation enthalpy at 0 K = 0.3586 eV/atom; total energy = -93.651 eV per cell; total moment = 0.000 μB/f.u.
1.0
2.508 0.000 0.000
0.000 2.508 0.000
0.000 0.000 12.392
B C
5 7
Cartesian
0.000 0.000 0.000
0.000 1.254 3.018
0.000 1.254 7.266
1.254 0.000 5.125
1.254 0.000 9.374
0.000 0.000 4.079
0.000 0.000 8.313
0.000 1.254 11.299
1.254 0.000 1.092
1.254 1.254 1.915
1.254 1.254 6.196
1.254 1.254 10.476

=====

AuI2N, relaxed, DFT GGA-PBE; formation energy (no corrections) = 1.0727 eV per atom; space-group type = I-42d (122); theoretical density = 7.13 g/cm3; total energy = -41.648 eV per cell; total moment = 0.000 μB/f.u.
1.0
5.778 0.000 0.000
0.000 5.778 0.000
0.000 0.000 12.963
Au I N
4 8 4
Cartesian
0.000 0.000 0.000
0.000 2.889 3.241
2.889 0.000 9.722
2.889 2.889 6.481
0.942 1.445 8.102
1.445 3.831 11.343
1.445 4.836 4.861
1.947 1.445 1.620
3.831 4.334 1.620
4.334 0.942 4.861
4.334 1.947 11.343
4.836 4.334 8.102
0.000 0.000 6.481
0.000 2.889 9.722
2.889 0.000 3.241
2.889 2.889 0.000

=====

Cr2SbP, relaxed, DFT GGA-PBE; formation energy (no corrections) = 0.3063 eV per atom; space-group type = I-42d (122); theoretical density = 4.54 g/cm3; total energy = -110.216 eV per cell; total moment = 6.000 μB/f.u.
1.0
5.562 0.000 0.000
0.000 5.562 0.000
0.000 0.000 12.135
Cr Sb P
8 4 4
Cartesian
1.081 1.390 1.517
1.390 3.862 4.551
1.390 4.481 10.618
1.700 1.390 7.584
3.862 4.171 7.584
4.171 1.081 10.618
4.171 1.700 4.551
4.481 4.171 1.517
0.000 0.000 6.068
0.000 2.781 9.101
2.781 0.000 3.034
2.781 2.781 0.000
0.000 0.000 0.000
0.000 2.781 3.034
2.781 0.000 9.101
2.781 2.781 6.068

=====

Si2Hg2Pt, relaxed, DFT GGA-PBE; formation energy (no corrections) = 0.0222 eV per atom; space-group type = P4/mbm (127); theoretical density = 11.16 g/cm3; total energy = -34.759 eV per cell; total moment = 0.000 μB/f.u.
1.0
6.270 0.000 0.000
0.000 6.270 0.000
0.000 0.000 4.938
Si Hg Pt
4 4 2
Cartesian
0.863 2.273 0.000
2.273 5.408 0.000
3.998 0.863 0.000
5.408 3.998 0.000
1.219 4.354 2.469
1.917 1.219 2.469
4.354 5.052 2.469
5.052 1.917 2.469
0.000 0.000 0.000
3.135 3.135 0.000

=====

Ce2CdPd3, relaxed, DFT GGA-PBE; space-group type = Cmc2_1 (36); theoretical density = 8.33 g/cm3; formation enthalpy at 0 K = -0.5129 eV/atom; total energy = -62.877 eV per cell; total moment = 1.702 μB/f.u.
1.0
6.654 -3.851 0.000
6.654 3.851 0.000
0.000 0.000 5.539
Ce Cd Pd
4 2 6
Cartesian
4.568 2.434 2.769
8.739 2.434 2.769
4.568 -2.434 0.000
8.739 -2.434 0.000
6.654 1.228 5.535
6.654 -1.228 2.766
6.654 3.844 1.372
4.372 0.001 1.384
4.372 -0.001 4.153
8.935 0.001 1.384
8.935 -0.001 4.153
6.654 -3.844 4.141

=====

La2CoP, relaxed, DFT GGA-PBE; space-group type = P4/mmm (123); theoretical density = 6.66 g/cm3; formation enthalpy at 0 K = -0.5479 eV/atom; total energy = -24.562 eV per cell; total moment = 0.559 μB/f.u.
1.0
4.985 0.000 0.000
0.000 4.985 0.000
0.000 0.000 3.692
La Co P
2 1 1
Cartesian
0.000 2.492 0.000
2.492 0.000 0.000
0.000 0.000 1.846
2.492 2.492 1.846

=====

Li8CdAg6, relaxed, DFT GGA-PBE; space-group type = R-3 (148); theoretical density = 4.66 g/cm3; formation enthalpy at 0 K = -0.0936 eV/atom; total energy = -34.737 eV per cell; total moment = 0.000 μB/f.u.
1.0
3.905 2.255 5.498
-3.905 2.255 5.498
0.000 -4.509 5.498
Li Cd Ag
8 1 6
Cartesian
-1.149 -2.082 6.254
0.000 0.000 3.507
-2.378 -0.045 10.241
-1.228 2.036 6.254
1.228 -2.036 10.241
2.378 0.045 6.254
0.000 0.000 12.988
1.149 2.082 10.241
0.000 0.000 8.247
-2.737 0.151 7.489
-1.499 -2.294 9.006
1.237 -2.446 7.489
-1.237 2.446 9.006
1.499 2.294 7.489
2.737 -0.151 9.006

=====

YPtSe4, relaxed, DFT GGA-PBE; formation energy (no corrections) = 0.1016 eV per atom; space-group type = F-43m (216); theoretical density = 7.89 g/cm3; total energy = -25.833 eV per cell; total moment = 0.000 μB/f.u.
1.0
0.000 3.982 3.982
3.982 0.000 3.982
3.982 3.982 0.000
Y Pt Se
1 1 4
Cartesian
0.000 0.000 0.000
5.973 5.973 5.973
2.997 2.997 2.997
4.966 4.966 2.997
4.966 2.997 4.966
2.997 4.966 4.966

=====

MgBe2CdAg, relaxed, DFT GGA-PBE; space-group type = P4/mmm (123); theoretical density = 4.40 g/cm3; formation enthalpy at 0 K = 0.6217 eV/atom; total energy = -9.705 eV per cell; total moment = 0.000 μB/f.u.
1.0
4.457 0.000 0.000
0.000 4.457 0.000
0.000 0.000 4.985
Mg Be Cd Ag
1 2 1 1
Cartesian
0.000 0.000 0.000
0.000 2.228 2.493
2.228 0.000 2.493
2.228 2.228 0.000
0.000 0.000 2.493

=====

BaNa2In10, relaxed, DFT GGA-PBE; space-group type = Fmmm (69); theoretical density = 5.97 g/cm3; formation enthalpy at 0 K = -0.1305 eV/atom; total energy = -33.641 eV per cell; total moment = 0.000 μB/f.u.
1.0
0.000 7.574 7.637
3.203 0.000 7.637
3.203 7.574 0.000
Ba Na In
1 2 10
Cartesian
0.000 0.000 0.000
1.602 0.000 3.819
1.602 7.574 3.819
1.602 3.787 0.000
3.203 12.454 10.350
3.203 2.694 4.925
3.203 5.900 5.981
3.203 2.694 10.350
3.203 5.900 9.294
1.602 3.787 7.637
3.203 9.248 5.981
3.203 12.454 4.925
3.203 9.248 9.294

=====

Zr4CrAu, relaxed, DFT GGA-PBE; space-group type = F-43m (216); theoretical density = 7.91 g/cm3; formation enthalpy at 0 K = 0.4256 eV/atom; total energy = -44.540 eV per cell; total moment = 3.588 μB/f.u.
1.0
0.000 4.009 4.009
4.009 0.000 4.009
4.009 4.009 0.000
Zr Cr Au
4 1 1
Cartesian
3.013 3.013 3.013
5.004 5.004 3.013
5.004 3.013 5.004
3.013 5.004 5.004
6.013 6.013 6.013
0.000 0.000 0.000

=====

Y2TeO3, relaxed, DFT GGA-PBE; formation energy (no corrections) = -2.7498 eV per atom; space-group type = C2/m (12); theoretical density = 5.51 g/cm3; total energy = -94.886 eV per cell; total moment = 0.000 μB/f.u.
1.0
6.310 -1.934 0.000
6.310 1.934 0.000
-4.176 0.000 8.725
Y Te O
4 2 6
Cartesian
-0.814 0.000 2.341
0.373 0.000 8.204
8.072 0.000 0.521
9.259 0.000 6.384
2.861 0.000 3.680
5.584 0.000 5.045
-1.891 0.000 8.034
1.535 0.000 2.065
2.526 0.000 7.381
5.920 0.000 1.344
6.911 0.000 6.660
10.336 0.000 0.691

=====

Hf5NiPd, relaxed, DFT GGA-PBE; space-group type = C2/c (15); theoretical density = 12.19 g/cm3; formation enthalpy at 0 K = -0.0143 eV/atom; total energy = -121.683 eV per cell; total moment = 0.000 μB/f.u.
1.0
4.844 -3.283 0.000
4.844 3.283 0.000
-3.907 0.000 9.057
Hf Ni Pd
10 2 2
Cartesian
-0.629 1.748 7.649
1.914 3.159 6.793
1.753 0.951 4.468
4.456 1.748 5.936
5.982 0.951 0.061
-0.201 -0.951 8.996
1.324 -1.748 3.121
4.028 -0.951 4.589
3.867 -3.159 2.264
6.410 -1.748 1.408
0.000 0.000 0.000
-1.954 0.000 4.528
3.867 0.337 2.264
1.914 -0.337 6.793

=====

Tb2CoHgC, relaxed, DFT GGA-PBE; space-group type = P4/mmm (123); theoretical density = 10.22 g/cm3; formation enthalpy at 0 K = -0.3957 eV/atom; total energy = -27.870 eV per cell; total moment = 0.000 μB/f.u.
1.0
5.104 0.000 0.000
0.000 5.104 0.000
0.000 0.000 3.676
Tb Co Hg C
2 1 1 1
Cartesian
0.000 2.552 0.000
2.552 0.000 0.000
0.000 0.000 1.838
2.552 2.552 1.838
0.000 0.000 0.000

=====

Cr3FeAs, relaxed, DFT GGA-PBE; space-group type = Pm-3m (221); theoretical density = 5.94 g/cm3; formation enthalpy at 0 K = 0.9739 eV/atom; total energy = -37.113 eV per cell; total moment = 5.672 μB/f.u.
1.0
4.313 0.000 0.000
0.000 4.313 0.000
0.000 0.000 4.313
Cr Fe As
3 1 1
Cartesian
0.000 0.000 2.156
0.000 2.156 0.000
2.156 0.000 0.000
0.000 0.000 0.000
2.156 2.156 2.156

=====

TlAg2SbSe, relaxed, DFT GGA-PBE; formation energy (no corrections) = 0.3349 eV per atom; space-group type = P4/mmm (123); theoretical density = 6.68 g/cm3; total energy = -14.001 eV per cell; total moment = 0.718 μB/f.u.
1.0
4.900 0.000 0.000
0.000 4.900 0.000
0.000 0.000 6.423
Tl Ag Sb Se
1 2 1 1
Cartesian
0.000 0.000 0.000
0.000 2.450 3.212
2.450 0.000 3.212
2.450 2.450 0.000
0.000 0.000 3.212

=====

Ba3NaTe, relaxed, DFT GGA-PBE; formation energy (no corrections) = -0.5145 eV per atom; space-group type = Pm-3m (221); theoretical density = 3.02 g/cm3; total energy = -12.801 eV per cell; total moment = 0.000 μB/f.u.
1.0
6.762 0.000 0.000
0.000 6.762 0.000
0.000 0.000 6.762
Ba Na Te
3 1 1
Cartesian
0.000 0.000 3.381
0.000 3.381 0.000
3.381 0.000 0.000
3.381 3.381 3.381
0.000 0.000 0.000

=====

Ho2Si5Rh3, relaxed, DFT GGA-PBE; formation energy (no corrections) = -0.9712 eV per atom; space-group type = Ibam (72); theoretical density = 7.88 g/cm3; total energy = -136.075 eV per cell; total moment = 0.000 μB/f.u.
1.0
-4.942 5.798 2.867
4.942 -5.798 2.867
4.942 5.798 -2.867
Ho Si Rh
4 10 6
Cartesian
2.284 1.529 0.000
2.284 -1.529 2.867
2.658 7.327 0.000
2.658 4.268 2.867
4.942 -2.565 1.433
6.503 1.226 0.000
0.000 0.000 1.433
1.562 4.571 0.000
4.942 2.565 1.433
0.000 3.232 1.433
3.380 1.226 2.867
0.000 0.000 4.300
-1.562 4.571 2.867
0.000 8.363 1.433
3.861 -4.171 2.867
4.942 0.000 1.433
3.861 4.171 0.000
1.080 1.626 2.867
0.000 5.798 1.433
1.080 9.969 0.000

=====

ZnCo3Cu, relaxed, DFT GGA-PBE; space-group type = Pm-3m (221); theoretical density = 6.36 g/cm3; formation enthalpy at 0 K = 1.2152 eV/atom; total energy = -20.612 eV per cell; total moment = 5.124 μB/f.u.
1.0
4.305 0.000 0.000
0.000 4.305 0.000
0.000 0.000 4.305
Zn Co Cu
1 3 1
Cartesian
0.000 0.000 0.000
0.000 2.153 2.153
2.153 0.000 2.153
2.153 2.153 0.000
2.153 2.153 2.153

=====

Tl2ZnPb, relaxed, DFT GGA-PBE; space-group type = F-43m (216); theoretical density = 10.15 g/cm3; formation enthalpy at 0 K = 0.1138 eV/atom; total energy = -37.039 eV per cell; total moment = 0.000 μB/f.u.
1.0
7.641 0.000 0.000
0.000 7.641 0.000
0.000 0.000 7.641
Tl Zn Pb
8 4 4
Cartesian
0.000 0.000 0.000
0.000 3.820 3.820
1.910 1.910 1.910
1.910 5.730 5.730
3.820 0.000 3.820
3.820 3.820 0.000
5.730 1.910 5.730
5.730 5.730 1.910
1.910 1.910 5.730
1.910 5.730 1.910
5.730 1.910 1.910
5.730 5.730 5.730
0.000 0.000 3.820
0.000 3.820 0.000
3.820 0.000 0.000
3.820 3.820 3.820

=====

TlBF4, relaxed, DFT GGA-PBE; formation energy (no corrections) = -2.6468 eV per atom; space-group type = Pnma (62); theoretical density = 4.85 g/cm3; total energy = -129.640 eV per cell; total moment = 0.000 μB/f.u.
1.0
9.275 0.000 0.000
0.000 5.768 0.000
0.000 0.000 7.459
Tl B F
4 4 16
Cartesian
1.728 1.442 1.230
2.909 4.326 4.960
6.366 1.442 2.499
7.547 4.326 6.228
0.568 1.442 5.161
4.070 4.326 1.432
5.205 1.442 6.027
8.708 4.326 2.298
0.706 0.283 5.988
0.706 2.601 5.988
0.703 4.326 2.901
1.598 1.442 4.190
3.039 4.326 0.461
3.935 1.442 6.630
3.932 3.167 2.259
3.932 5.485 2.259
5.343 0.283 5.200
5.343 2.601 5.200
5.340 4.326 0.829
6.236 1.442 6.998
7.677 4.326 3.269
8.572 1.442 4.558
8.570 3.167 1.471
8.570 5.485 1.471